(1)
Mg2BeRu (PBE-GGA, relaxed); energy = -15.36 eV for the cell shown; ρ = 4.35 g/cm³
1.0
2.7156 -3.8396 0.0000
2.7156 3.8396 0.0000
0.0000 0.0000 2.9058
Mg Be Ru
2 1 1
Direct
0.0000 0.5000 0.0000
0.5000 0.0000 0.0000
0.0000 0.0000 0.5000
0.5000 0.5000 0.5000

=====

(2)
Al2AgBr (PBE-GGA, relaxed); formation energy from raw total energies = -0.001 eV/atom; energy = -12.01 eV for the cell shown; ρ = 3.71 g/cm³; excess energy over the best structure of this formula in the dataset = 0 meV per atom
1.0
3.1636 0.0000 0.0000
1.5808 5.3596 0.0000
1.5732 0.0418 6.3784
Al Ag Br
2 1 1
Direct
0.0000 0.0000 0.0000
0.2960 0.4073 0.0007
0.5357 0.7022 0.2273
0.3060 0.7053 0.6820

=====

(3)
RbCu2S3 (PBE-GGA, relaxed); formation energy from raw total energies = -0.461 eV/atom; energy = -48.62 eV for the cell shown; ρ = 3.78 g/cm³
1.0
3.4864 -7.2223 0.0000
3.4864 7.2223 0.0000
0.0000 0.0000 5.3853
Rb Cu S
2 4 6
Direct
0.2283 0.7717 0.7500
0.7717 0.2283 0.2500
0.3101 0.3101 0.0000
0.3101 0.3101 0.5000
0.6899 0.6899 0.0000
0.6899 0.6899 0.5000
0.0469 0.2552 0.7500
0.2552 0.0469 0.2500
0.4018 0.5982 0.2500
0.5982 0.4018 0.7500
0.7448 0.9531 0.7500
0.9531 0.7448 0.2500

=====

(4)
Li2U3Se6 (PBE-GGA, relaxed); formation energy from raw total energies = -1.181 eV/atom; energy = -71.59 eV for the cell shown; ρ = 7.11 g/cm³
1.0
3.5148 -6.0857 0.0000
3.5148 6.0857 0.0000
-2.3317 0.0000 6.5597
Li U Se
2 3 6
Direct
0.1671 0.8329 0.0000
0.8329 0.1671 0.0000
0.0000 0.0000 0.5000
0.3360 0.6640 0.5000
0.6640 0.3360 0.5000
0.0800 0.4172 0.7521
0.2445 0.2445 0.2432
0.4172 0.0800 0.7521
0.5828 0.9200 0.2479
0.7555 0.7555 0.7568
0.9200 0.5828 0.2479

=====

(5)
CaDyBr2 (PBE-GGA, relaxed); formation energy from raw total energies = -1.096 eV/atom; energy = -14.33 eV for the cell shown; ρ = 4.79 g/cm³
1.0
1.8835 1.0875 10.2205
-1.8835 1.0875 10.2205
0.0000 -2.1749 10.2205
Ca Dy Br
1 1 2
Direct
0.0000 0.0000 0.0000
0.5000 0.5000 0.5000
0.1008 0.1008 0.1008
0.8992 0.8992 0.8992

=====

(6)
AcPrPtSe (PBE-GGA, relaxed); formation energy from raw total energies = -1.471 eV/atom; energy = -24.30 eV for the cell shown; ρ = 8.90 g/cm³
1.0
2.1403 1.2357 7.5506
-2.1403 1.2357 7.5506
0.0000 -2.4714 7.5506
Ac Pr Pt Se
1 1 1 1
Direct
0.0000 0.0000 0.0000
0.4856 0.4856 0.4856
0.7456 0.7456 0.7456
0.2379 0.2379 0.2379

=====

(7)
Ca2Zn2HgPd5 (PBE-GGA, relaxed); energy = -77.25 eV for the cell shown; ρ = 8.56 g/cm³
1.0
9.7670 0.0000 0.0000
0.0000 9.7670 0.0000
0.0000 0.0000 3.8376
Ca Zn Hg Pd
4 4 2 10
Direct
0.1767 0.3233 0.0000
0.3233 0.8233 0.0000
0.6767 0.1767 0.0000
0.8233 0.6767 0.0000
0.1212 0.6212 0.0000
0.3788 0.1212 0.0000
0.6212 0.8788 0.0000
0.8788 0.3788 0.0000
0.0000 0.0000 0.0000
0.5000 0.5000 0.0000
0.0000 0.5000 0.5000
0.0676 0.7910 0.5000
0.2090 0.0676 0.5000
0.2910 0.5676 0.5000
0.4324 0.2910 0.5000
0.5000 0.0000 0.5000
0.5676 0.7090 0.5000
0.7090 0.4324 0.5000
0.7910 0.9324 0.5000
0.9324 0.2090 0.5000

=====

(8)
Rb2ZnCl6F (PBE-GGA, relaxed); formation energy from raw total energies = -1.024 eV/atom; energy = -26.40 eV for the cell shown; ρ = 2.87 g/cm³
1.0
-3.8618 3.8618 4.5469
3.8618 -3.8618 4.5469
3.8618 3.8618 -4.5469
Rb Zn Cl F
2 1 6 1
Direct
0.2500 0.7500 0.5000
0.7500 0.2500 0.5000
0.0000 0.0000 0.0000
0.2148 0.2148 0.4295
0.2148 0.7852 0.0000
0.2799 0.2799 0.0000
0.7201 0.7201 0.0000
0.7852 0.2148 0.0000
0.7852 0.7852 0.5705
0.5000 0.5000 0.0000

=====

(9)
Pm3Nd4Sm (PBE-GGA, relaxed); energy = -36.83 eV for the cell shown; ρ = 6.87 g/cm³; excess energy over the best structure of this formula in the dataset = 118 meV per atom
1.0
11.9467 -1.7637 0.0000
11.9467 1.7637 0.0000
-2.0217 0.0000 6.6632
Pm Nd Sm
3 4 1
Direct
0.0000 0.0000 0.0000
0.1242 0.1242 0.3821
0.8758 0.8758 0.6179
0.1241 0.1241 0.8664
0.2585 0.2585 0.2595
0.7415 0.7415 0.7405
0.8759 0.8759 0.1336
0.5000 0.5000 0.5000

=====

(10)
SmAg2AsS4 (PBE-GGA, relaxed); formation energy from raw total energies = -0.614 eV/atom; energy = -72.98 eV for the cell shown; ρ = 5.61 g/cm³
1.0
-3.7667 3.9943 5.5984
3.7667 -3.9943 5.5984
3.7667 3.9943 -5.5984
Sm Ag As S
2 4 2 8
Direct
0.0000 0.0000 0.0000
0.5000 0.0000 0.5000
0.0000 0.5000 0.5000
0.5000 0.0000 0.0000
0.5000 0.5000 0.0000
0.5000 0.5000 0.5000
0.0000 0.0000 0.5000
0.0000 0.5000 0.0000
0.2334 0.2499 0.9835
0.2336 0.7501 0.4835
0.2348 0.2394 0.5046
0.2348 0.7302 0.9954
0.7652 0.2698 0.0046
0.7652 0.7606 0.4954
0.7664 0.2499 0.5165
0.7666 0.7501 0.0165

=====

(11)
Th2InHg3 (PBE-GGA, relaxed); energy = -40.05 eV for the cell shown; ρ = 12.60 g/cm³
1.0
0.0000 5.0757 8.7962
3.4849 0.0000 8.7962
3.4849 5.0757 0.0000
Th In Hg
4 2 6
Direct
0.2466 0.7534 0.7534
0.2500 0.2500 0.2500
0.7500 0.7500 0.7500
0.7534 0.2466 0.2466
0.3339 0.3339 0.6661
0.6661 0.6661 0.3339
0.1670 0.1670 0.8330
0.1671 0.6663 0.3337
0.3337 0.8329 0.1671
0.6663 0.1671 0.8329
0.8329 0.3337 0.6663
0.8330 0.8330 0.1670

=====

(12)
SmYCuSi (PBE-GGA, relaxed); formation energy from raw total energies = -0.513 eV/atom; energy = -22.76 eV for the cell shown; ρ = 5.99 g/cm³; excess energy over the best structure of this formula in the dataset = 0 meV per atom
1.0
4.1378 0.0000 0.0000
0.0000 2.0668 5.3595
0.0000 -2.0668 5.3595
Sm Y Cu Si
1 1 1 1
Direct
0.0000 0.0000 0.0000
0.5000 0.7195 0.7195
0.0000 0.2929 0.2929
0.5000 0.4274 0.4274